1.
# La2NdCd3Cu2Ag (PBE-GGA, optimized geometry)
# Raw total energy (Ry/atom): -0.247
# Formation energy (meV per atom): -300
# ρ (g/cm³): 7.691
data_La2NdCd3Cu2Ag
_cell_length_a 4.0043
_cell_length_b 13.6477
_cell_length_c 7.8563
_cell_angle_alpha 90.00
_cell_angle_beta 90.00
_cell_angle_gamma 90.00
_symmetry_space_group_name_H-M 'A m m 2'
_symmetry_Int_Tables_number 38
loop_
_symmetry_equiv_pos_as_xyz
'x,y,z'
'-x,-y,z'
'-x,y,z'
'x,-y,z'
'x,y+1/2,z+1/2'
'-x,-y+1/2,z+1/2'
'-x,y+1/2,z+1/2'
'x,-y+1/2,z+1/2'
loop_
_atom_site_label
_atom_site_type_symbol
_atom_site_fract_x
_atom_site_fract_y
_atom_site_fract_z
La1 La 0.0000 0.2069 0.0000
Nd1 Nd 0.0000 0.0000 0.3814
Cd1 Cd 0.5000 0.0000 0.0579
Cd2 Cd 0.5000 0.1289 0.6619
Cu1 Cu 0.5000 0.1656 0.2945
Ag1 Ag 0.0000 0.0000 0.7942

2.
# Ta2Al11 (PBE-GGA, optimized geometry)
# Raw total energy (Ry/atom): -0.368
# E above lowest polymorph (meV per atom): 8
# ρ (g/cm³): 5.024
data_Ta2Al11
_cell_length_a 5.1640
_cell_length_b 5.1640
_cell_length_c 28.2836
_cell_angle_alpha 90.00
_cell_angle_beta 90.00
_cell_angle_gamma 120.00
_symmetry_space_group_name_H-M 'R -3 m'
_symmetry_Int_Tables_number 166
_symmetry_space_group_name_Hall '-R 3 2"'
loop_
_atom_site_label
_atom_site_type_symbol
_atom_site_fract_x
_atom_site_fract_y
_atom_site_fract_z
Ta1 Ta 0.0000 0.0000 0.0478
Al1 Al 0.0000 0.0000 0.1496
Al2 Al 0.0000 0.0000 0.3349
Al3 Al 0.0000 0.0000 0.5000
Al4 Al 0.0018 0.5009 0.9126

3.
# TaBeSbTe (PBE-GGA, optimized geometry)
# Raw total energy (Ry/atom): -0.353
# E above lowest polymorph (meV per atom): 281
# ρ (g/cm³): 8.961
data_TaBeSbTe
_cell_length_a 6.8799
_cell_length_b 6.8799
_cell_length_c 6.8799
_cell_angle_alpha 90.00
_cell_angle_beta 90.00
_cell_angle_gamma 90.00
_symmetry_space_group_name_H-M 'F -4 3 m'
_symmetry_Int_Tables_number 216
_symmetry_space_group_name_Hall 'F -4 2 3'
loop_
_atom_site_label
_atom_site_type_symbol
_atom_site_fract_x
_atom_site_fract_y
_atom_site_fract_z
Ta1 Ta 0.0000 0.0000 0.0000
Be1 Be 0.2500 0.2500 0.2500
Sb1 Sb 0.0000 0.0000 0.5000
Te1 Te 0.2500 0.2500 0.7500

4.
# Dy2Be2SiGe (PBE-GGA, optimized geometry)
# Raw total energy (Ry/atom): -0.376
# ρ (g/cm³): 6.946
data_Dy2Be2SiGe
_cell_length_a 3.8957
_cell_length_b 3.8957
_cell_length_c 8.0714
_cell_angle_alpha 90.00
_cell_angle_beta 90.00
_cell_angle_gamma 120.00
_symmetry_space_group_name_H-M 'P -6 m 2'
_symmetry_Int_Tables_number 187
_symmetry_space_group_name_Hall 'P -6 2'
loop_
_atom_site_label
_atom_site_type_symbol
_atom_site_fract_x
_atom_site_fract_y
_atom_site_fract_z
Dy1 Dy 0.0000 0.0000 0.2474
Be1 Be 0.3333 0.6667 0.0000
Be2 Be 0.6667 0.3333 0.5000
Si1 Si 0.6667 0.3333 0.0000
Ge1 Ge 0.3333 0.6667 0.5000

5.
# Ta3Os2Pt (PBE-GGA, optimized geometry)
# Raw total energy (Ry/atom): -0.807
# Formation energy (meV per atom): -296
# ρ (g/cm³): 18.803
data_Ta3Os2Pt
_cell_length_a 13.9047
_cell_length_b 3.0435
_cell_length_c 4.6678
_cell_angle_alpha 90.00
_cell_angle_beta 90.00
_cell_angle_gamma 90.00
_symmetry_space_group_name_H-M 'P m m a'
_symmetry_Int_Tables_number 51
loop_
_symmetry_equiv_pos_as_xyz
'x,y,z'
'-x,-y,-z'
'-x+1/2,-y,z'
'x+1/2,y,-z'
'x+1/2,-y,-z'
'-x+1/2,y,z'
'-x,y,-z'
'x,-y,z'
loop_
_atom_site_label
_atom_site_type_symbol
_atom_site_fract_x
_atom_site_fract_y
_atom_site_fract_z
Ta1 Ta 0.0724 0.0000 0.2001
Ta2 Ta 0.2500 0.0000 0.6746
Os1 Os 0.0931 0.5000 0.6885
Pt1 Pt 0.2500 0.5000 0.1758

6.
# RbSr4Tc2 (PBE-GGA, optimized geometry)
# Raw total energy (Ry/atom): -0.250
# ρ (g/cm³): 4.136
data_RbSr4Tc2
_cell_length_a 10.8943
_cell_length_b 8.0742
_cell_length_c 5.9414
_cell_angle_alpha 90.00
_cell_angle_beta 103.84
_cell_angle_gamma 90.00
_symmetry_space_group_name_H-M 'C 1 2/m 1'
_symmetry_Int_Tables_number 12
loop_
_symmetry_equiv_pos_as_xyz
'x,y,z'
'-x,-y,-z'
'-x,y,-z'
'x,-y,z'
'x+1/2,y+1/2,z'
'-x+1/2,-y+1/2,-z'
'-x+1/2,y+1/2,-z'
'x+1/2,-y+1/2,z'
loop_
_atom_site_label
_atom_site_type_symbol
_atom_site_fract_x
_atom_site_fract_y
_atom_site_fract_z
Rb1 Rb 0.0000 0.0000 0.0000
Sr1 Sr 0.1488 0.2815 0.7081
Tc1 Tc 0.0836 0.5000 0.1459

7.
# TaReAsO (PBE-GGA, optimized geometry)
# Raw total energy (Ry/atom): -0.668
# E above lowest polymorph (meV per atom): 0
# ρ (g/cm³): 12.195
data_TaReAsO
_cell_length_a 4.1744
_cell_length_b 5.7586
_cell_length_c 5.1896
_cell_angle_alpha 90.00
_cell_angle_beta 90.00
_cell_angle_gamma 90.00
_symmetry_space_group_name_H-M 'P m c 21'
_symmetry_Int_Tables_number 26
loop_
_symmetry_equiv_pos_as_xyz
'x,y,z'
'-x,-y,z+1/2'
'-x,y,z'
'x,-y,z+1/2'
loop_
_atom_site_label
_atom_site_type_symbol
_atom_site_fract_x
_atom_site_fract_y
_atom_site_fract_z
Ta1 Ta 0.0000 0.1760 0.0000
Re1 Re 0.5000 0.1024 0.6482
As1 As 0.0000 0.3422 0.5071
O1 O 0.5000 0.2350 0.0205

8.
# SmMoPt (PBE-GGA, optimized geometry)
# Raw total energy (Ry/atom): -0.512
# Formation energy (meV per atom): 238
# E above lowest polymorph (meV per atom): 0
# ρ (g/cm³): 10.453
data_SmMoPt
_cell_length_a 6.5457
_cell_length_b 6.5457
_cell_length_c 6.5457
_cell_angle_alpha 90.00
_cell_angle_beta 90.00
_cell_angle_gamma 90.00
_symmetry_space_group_name_H-M 'F -4 3 m'
_symmetry_Int_Tables_number 216
_symmetry_space_group_name_Hall 'F -4 2 3'
loop_
_atom_site_label
_atom_site_type_symbol
_atom_site_fract_x
_atom_site_fract_y
_atom_site_fract_z
Sm1 Sm 0.0000 0.0000 0.0000
Mo1 Mo 0.0000 0.0000 0.5000
Pt1 Pt 0.2500 0.2500 0.7500

9.
# RbTbAs (PBE-GGA, optimized geometry)
# Raw total energy (Ry/atom): -0.267
# ρ (g/cm³): 5.374
data_RbTbAs
_cell_length_a 7.3352
_cell_length_b 7.3352
_cell_length_c 7.3352
_cell_angle_alpha 90.00
_cell_angle_beta 90.00
_cell_angle_gamma 90.00
_symmetry_space_group_name_H-M 'F -4 3 m'
_symmetry_Int_Tables_number 216
_symmetry_space_group_name_Hall 'F -4 2 3'
loop_
_atom_site_label
_atom_site_type_symbol
_atom_site_fract_x
_atom_site_fract_y
_atom_site_fract_z
Rb1 Rb 0.0000 0.0000 0.0000
Tb1 Tb 0.0000 0.0000 0.5000
As1 As 0.2500 0.2500 0.2500

10.
# RbSnTe2AuS (PBE-GGA, optimized geometry)
# Raw total energy (Ry/atom): -0.255
# ρ (g/cm³): 6.392
data_RbSnTe2AuS
_cell_length_a 4.4841
_cell_length_b 13.2754
_cell_length_c 12.0174
_cell_angle_alpha 90.00
_cell_angle_beta 90.00
_cell_angle_gamma 90.00
_symmetry_space_group_name_H-M 'C m c m'
_symmetry_Int_Tables_number 63
_symmetry_space_group_name_Hall '-C 2c 2'
loop_
_atom_site_label
_atom_site_type_symbol
_atom_site_fract_x
_atom_site_fract_y
_atom_site_fract_z
Rb1 Rb 0.0000 0.2225 0.2500
Sn1 Sn 0.0000 0.5000 0.0000
Te1 Te 0.0000 0.1561 0.5354
Au1 Au 0.0000 0.0536 0.7500
S1 S 0.0000 0.4804 0.7500

11.
# Na2Tm (PBE-GGA, optimized geometry)
# Raw total energy (Ry/atom): -0.108
# E above lowest polymorph (meV per atom): 545
# ρ (g/cm³): 3.119
data_Na2Tm
_cell_length_a 7.7064
_cell_length_b 7.7064
_cell_length_c 7.7064
_cell_angle_alpha 90.00
_cell_angle_beta 90.00
_cell_angle_gamma 90.00
_symmetry_space_group_name_H-M 'F m -3 m'
_symmetry_Int_Tables_number 225
_symmetry_space_group_name_Hall '-F 4 2 3'
loop_
_atom_site_label
_atom_site_type_symbol
_atom_site_fract_x
_atom_site_fract_y
_atom_site_fract_z
Na1 Na 0.2500 0.2500 0.2500
Tm1 Tm 0.0000 0.0000 0.0000

12.
# KRbRe2N4 (PBE-GGA, optimized geometry)
# Raw total energy (Ry/atom): -0.564
# ρ (g/cm³): 6.202
data_KRbRe2N4
_cell_length_a 5.6491
_cell_length_b 5.6491
_cell_length_c 9.2787
_cell_angle_alpha 90.00
_cell_angle_beta 90.00
_cell_angle_gamma 90.00
_symmetry_space_group_name_H-M 'I -4'
_symmetry_Int_Tables_number 82
loop_
_symmetry_equiv_pos_as_xyz
'x,y,z'
'y,-x,-z'
'-x,-y,z'
'-y,x,-z'
'x+1/2,y+1/2,z+1/2'
'y+1/2,-x+1/2,-z+1/2'
'-x+1/2,-y+1/2,z+1/2'
'-y+1/2,x+1/2,-z+1/2'
loop_
_atom_site_label
_atom_site_type_symbol
_atom_site_fract_x
_atom_site_fract_y
_atom_site_fract_z
K1 K 0.0000 0.0000 0.0000
Rb1 Rb 0.0000 0.5000 0.7500
Re1 Re 0.0000 0.0000 0.5000
Re2 Re 0.0000 0.5000 0.2500
N1 N 0.0792 0.7482 0.3765

13.
# B4SbPd (PBE-GGA, optimized geometry)
# Raw total energy (Ry/atom): -0.403
# E above lowest polymorph (meV per atom): 26
# ρ (g/cm³): 6.701
data_B4SbPd
_cell_length_a 3.0371
_cell_length_b 5.2814
_cell_length_c 8.3871
_cell_angle_alpha 90.00
_cell_angle_beta 90.00
_cell_angle_gamma 90.00
_symmetry_space_group_name_H-M 'I m m m'
_symmetry_Int_Tables_number 71
_symmetry_space_group_name_Hall '-I 2 2'
loop_
_atom_site_label
_atom_site_type_symbol
_atom_site_fract_x
_atom_site_fract_y
_atom_site_fract_z
B1 B 0.0000 0.1649 0.2462
Sb1 Sb 0.0000 0.5000 0.0000
Pd1 Pd 0.0000 0.5000 0.5000

14.
# Nb4Sn3W2N3 (PBE-GGA, optimized geometry)
# Raw total energy (Ry/atom): -0.650
# ρ (g/cm³): 10.113
data_Nb4Sn3W2N3
_cell_length_a 9.8274
_cell_length_b 5.6816
_cell_length_c 13.7785
_cell_angle_alpha 90.00
_cell_angle_beta 103.82
_cell_angle_gamma 90.00
_symmetry_space_group_name_H-M 'C 1 2/c 1'
_symmetry_Int_Tables_number 15
loop_
_symmetry_equiv_pos_as_xyz
'x,y,z'
'-x,-y,-z'
'-x,y,-z+1/2'
'x,-y,z+1/2'
'x+1/2,y+1/2,z'
'-x+1/2,-y+1/2,-z'
'-x+1/2,y+1/2,-z+1/2'
'x+1/2,-y+1/2,z+1/2'
loop_
_atom_site_label
_atom_site_type_symbol
_atom_site_fract_x
_atom_site_fract_y
_atom_site_fract_z
Nb1 Nb 0.1109 0.0868 0.0823
Nb2 Nb 0.2241 0.0816 0.4178
Sn1 Sn 0.0000 0.0929 0.7500
Sn2 Sn 0.1614 0.4223 0.2498
W1 W 0.0555 0.4182 0.9230
N1 N 0.0825 0.2527 0.5000
N2 N 0.2500 0.2500 0.0000

15.
# Pa4Ga12Ir (PBE-GGA, optimized geometry)
# Raw total energy (Ry/atom): -0.392
# ρ (g/cm³): 10.141
data_Pa4Ga12Ir
_cell_length_a 8.6161
_cell_length_b 8.6161
_cell_length_c 8.6161
_cell_angle_alpha 90.00
_cell_angle_beta 90.00
_cell_angle_gamma 90.00
_symmetry_space_group_name_H-M 'I m -3 m'
_symmetry_Int_Tables_number 229
_symmetry_space_group_name_Hall '-I 4 2 3'
loop_
_atom_site_label
_atom_site_type_symbol
_atom_site_fract_x
_atom_site_fract_y
_atom_site_fract_z
Pa1 Pa 0.2500 0.2500 0.2500
Ga1 Ga 0.0000 0.0000 0.2958
Ga2 Ga 0.0000 0.2500 0.5000
Ir1 Ir 0.0000 0.0000 0.0000

16.
# NaSrReOs (PBE-GGA, optimized geometry)
# Raw total energy (Ry/atom): -0.410
# E above lowest polymorph (meV per atom): 0
# ρ (g/cm³): 10.781
data_NaSrReOs
_cell_length_a 6.6949
_cell_length_b 6.6949
_cell_length_c 6.6949
_cell_angle_alpha 90.00
_cell_angle_beta 90.00
_cell_angle_gamma 90.00
_symmetry_space_group_name_H-M 'F -4 3 m'
_symmetry_Int_Tables_number 216
_symmetry_space_group_name_Hall 'F -4 2 3'
loop_
_atom_site_label
_atom_site_type_symbol
_atom_site_fract_x
_atom_site_fract_y
_atom_site_fract_z
Na1 Na 0.0000 0.0000 0.0000
Sr1 Sr 0.2500 0.2500 0.7500
Re1 Re 0.0000 0.0000 0.5000
Os1 Os 0.2500 0.2500 0.2500

17.
# Rb2Hg2O3 (PBE-GGA, optimized geometry)
# Raw total energy (Ry/atom): -0.232
# E above lowest polymorph (meV per atom): 0
# ρ (g/cm³): 5.606
data_Rb2Hg2O3
_cell_length_a 9.0238
_cell_length_b 9.0238
_cell_length_c 9.0238
_cell_angle_alpha 90.00
_cell_angle_beta 90.00
_cell_angle_gamma 90.00
_symmetry_space_group_name_H-M 'I 21 3'
_symmetry_Int_Tables_number 199
_symmetry_space_group_name_Hall 'I 2b 2c 3'
loop_
_atom_site_label
_atom_site_type_symbol
_atom_site_fract_x
_atom_site_fract_y
_atom_site_fract_z
Rb1 Rb 0.2250 0.2250 0.2250
Hg1 Hg 0.0549 0.4451 0.5549
O1 O 0.0000 0.2500 0.4210

18.
# NdSmBiO2 (PBE-GGA, optimized geometry)
# Raw total energy (Ry/atom): -0.536
# ρ (g/cm³): 8.212
data_NdSmBiO2
_cell_length_a 3.9701
_cell_length_b 3.9701
_cell_length_c 13.7418
_cell_angle_alpha 90.00
_cell_angle_beta 90.00
_cell_angle_gamma 90.00
_symmetry_space_group_name_H-M 'I 4 m m'
_symmetry_Int_Tables_number 107
_symmetry_space_group_name_Hall 'I 4 -2'
loop_
_atom_site_label
_atom_site_type_symbol
_atom_site_fract_x
_atom_site_fract_y
_atom_site_fract_z
Nd1 Nd 0.0000 0.0000 0.0000
Sm1 Sm 0.0000 0.0000 0.3293
Bi1 Bi 0.0000 0.0000 0.6643
O1 O 0.0000 0.5000 0.4122

19.
# PaZnPt (PBE-GGA, optimized geometry)
# Raw total energy (Ry/atom): -0.412
# Formation energy (meV per atom): -3
# ρ (g/cm³): 11.386
data_PaZnPt
_cell_length_a 6.5942
_cell_length_b 6.5942
_cell_length_c 6.5942
_cell_angle_alpha 90.00
_cell_angle_beta 90.00
_cell_angle_gamma 90.00
_symmetry_space_group_name_H-M 'F -4 3 m'
_symmetry_Int_Tables_number 216
_symmetry_space_group_name_Hall 'F -4 2 3'
loop_
_atom_site_label
_atom_site_type_symbol
_atom_site_fract_x
_atom_site_fract_y
_atom_site_fract_z
Pa1 Pa 0.0000 0.0000 0.0000
Zn1 Zn 0.2500 0.2500 0.2500
Pt1 Pt 0.2500 0.2500 0.7500

20.
# Er3Ge13Ir4 (PBE-GGA, optimized geometry)
# Raw total energy (Ry/atom): -0.438
# ρ (g/cm³): 10.064
data_Er3Ge13Ir4
_cell_length_a 9.0081
_cell_length_b 9.0081
_cell_length_c 9.0081
_cell_angle_alpha 90.00
_cell_angle_beta 90.00
_cell_angle_gamma 90.00
_symmetry_space_group_name_H-M 'P m -3 n'
_symmetry_Int_Tables_number 223
_symmetry_space_group_name_Hall '-P 4n 2 3'
loop_
_atom_site_label
_atom_site_type_symbol
_atom_site_fract_x
_atom_site_fract_y
_atom_site_fract_z
Er1 Er 0.0000 0.2500 0.5000
Ge1 Ge 0.0000 0.0000 0.0000
Ge2 Ge 0.0000 0.3085 0.1444
Ir1 Ir 0.2500 0.2500 0.2500

21.
# Li2MgCd (PBE-GGA, optimized geometry)
# Raw total energy (Ry/atom): -0.127
# E above lowest polymorph (meV per atom): 13
# ρ (g/cm³): 3.335
data_Li2MgCd
_cell_length_a 4.3723
_cell_length_b 4.3723
_cell_length_c 3.9229
_cell_angle_alpha 90.00
_cell_angle_beta 90.00
_cell_angle_gamma 90.00
_symmetry_space_group_name_H-M 'P 4/m m m'
_symmetry_Int_Tables_number 123
_symmetry_space_group_name_Hall '-P 4 2'
loop_
_atom_site_label
_atom_site_type_symbol
_atom_site_fract_x
_atom_site_fract_y
_atom_site_fract_z
Li1 Li 0.0000 0.5000 0.0000
Mg1 Mg 0.0000 0.0000 0.5000
Cd1 Cd 0.5000 0.5000 0.5000

22.
# Pr2PPd8 (PBE-GGA, optimized geometry)
# Raw total energy (Ry/atom): -0.430
# ρ (g/cm³): 9.366
data_Pr2PPd8
_cell_length_a 4.3708
_cell_length_b 17.5876
_cell_length_c 5.3700
_cell_angle_alpha 90.00
_cell_angle_beta 90.00
_cell_angle_gamma 90.00
_symmetry_space_group_name_H-M 'A m m 2'
_symmetry_Int_Tables_number 38
loop_
_symmetry_equiv_pos_as_xyz
'x,y,z'
'-x,-y,z'
'-x,y,z'
'x,-y,z'
'x,y+1/2,z+1/2'
'-x,-y+1/2,z+1/2'
'-x,y+1/2,z+1/2'
'x,-y+1/2,z+1/2'
loop_
_atom_site_label
_atom_site_type_symbol
_atom_site_fract_x
_atom_site_fract_y
_atom_site_fract_z
Pr1 Pr 0.0000 0.1246 0.0000
P1 P 0.5000 0.0000 0.2770
Pd1 Pd 0.0000 0.0000 0.4835
Pd2 Pd 0.0000 0.2021 0.4993
Pd3 Pd 0.5000 0.0000 0.8544
Pd4 Pd 0.5000 0.1113 0.4925
Pd5 Pd 0.5000 0.2470 0.7565